# Fe2SeCl

A relaxed structure of Fe2SeCl (PBE-GGA, Alexandria via LeMat-Bulk).

Properties
Energy (eV/atom): -5.28

Geometry as CIF:
```
data_Fe2SeCl
_space_group_name_H-M_alt 'P 1'
_space_group_IT_number 1
_space_group_name_Hall 'P 1'
_cell_length_a 4.509
_cell_length_b 4.509
_cell_length_c 4.509
_cell_angle_alpha 60.00
_cell_angle_beta 60.00
_cell_angle_gamma 60.00
loop_
_atom_site_label
_atom_site_fract_x
_atom_site_fract_y
_atom_site_fract_z
_atom_site_occupancy
Fe1 0.250 0.250 0.250 1
Fe2 0.750 0.750 0.750 1
Se1 0.500 0.500 0.500 1
Cl1 0.000 0.000 0.000 1
```